BaNp2O8 | PBE-GGA | relaxed

Computed properties:
DOS at the Fermi energy: 0.2610 states/eV/atom
formation energy (no corrections): -2394 meV/atom
relative energy among the computed polymorphs: 146.6 meV per atom
V: 15.3 A^3/atom

Cell lengths 5.096, 5.096, 6.463 Å; angles 90.00, 90.00, 90.00 degrees
Fractional coordinates of all 11 atoms:
Ba 0.000 0.000 0.000
Np 0.000 0.500 0.500
Np 0.500 0.000 0.500
O 0.251 0.251 0.317
O 0.251 0.251 0.683
O 0.251 0.749 0.317
O 0.251 0.749 0.683
O 0.749 0.251 0.317
O 0.749 0.251 0.683
O 0.749 0.749 0.317
O 0.749 0.749 0.683